First-principles (PBE) data for an optimized crystal structure of ThCo4Os, as listed in the Alexandria database.

Summary:
The calculation puts the density of states at the Fermi level at 8.72 states/eV/f.u. For the total energy, the calculation gives -7.77 eV/atom. The formation energy is 80 meV per atom.

a = 7.0226 Å, b = 7.0226 Å, c = 7.0226 Å
α = 90.00°, β = 90.00°, γ = 90.00°
Space group F-43m (No. 216)
Symmetry-distinct sites (fractional):
Th  0.0000  0.0000  0.0000 (multiplicity 4)
Co  0.1241  0.1241  0.6241 (multiplicity 16)
Os  0.2500  0.2500  0.2500 (multiplicity 4)